Record 1
A plane-wave DFT calculation with PBE was carried out for a geometry-optimized CsBeTc3 structure.

The calculation puts the density at 7994 kg/m3. Its density of states at the Fermi level is 1.41 states/eV per atom. For the energy of formation, the calculation gives 1.68 eV/atom. The uncorrected energy is -0.200 hartree per atom. As for the crystal system: cubic.

POSCAR file:
```
CsBeTc3
1.0
-1.007 4.062 1.629
-2.301 0.930 -3.742
-3.722 -1.674 1.873
Cs Tc Be
1 3 1
direct
0.500 0.500 0.500
0.000 0.500 0.000
0.000 0.000 0.500
0.500 0.000 0.000
0.000 0.000 0.000
```

Record 2
A plane-wave DFT calculation with PBE was carried out for a geometry-optimized CsBe2TlTc structure.

The calculation puts the density at 4984 kg/m3. Its density of states at the Fermi level is 0.91 states/eV per atom. For the energy of formation, the calculation gives 1.86 eV/atom. The uncorrected energy is -0.086 hartree per atom. As for the crystal system: tetragonal.

POSCAR file:
```
CsBe2TlTc
1.0
-2.386 1.868 -3.626
-2.711 -6.052 -1.334
-3.612 0.982 2.884
Be Tc Tl Cs
2 1 1 1
direct
0.000 0.000 0.500
0.500 0.000 0.000
0.500 0.500 0.500
0.000 0.000 0.000
0.000 0.500 0.000
```

Record 3
A plane-wave DFT calculation with PBE was carried out for a geometry-optimized CsBe3Te structure.

The calculation puts the density at 2914 kg/m3. Its density of states at the Fermi level is 1.00 states/eV per atom. For the formation energy from raw total energies, the calculation gives 2255 meV per atom. The uncorrected energy is -0.029 hartree per atom. As for the crystal system: cubic.

POSCAR file:
```
CsBe3Te
1.0
5.472 0.000 0.000
0.000 5.472 0.000
0.000 0.000 5.472
Be Cs Te
3 1 1
direct
0.000 0.500 0.000
0.500 0.000 0.000
0.000 0.000 0.500
0.000 0.000 0.000
0.500 0.500 0.500
```